Material: Cr4RhCl
Method: DFT, PBE
State: optimized geometry

Structure (extended XYZ):
```
6
Lattice="1.2859 -2.8595 3.6708 -1.4836 1.0106 4.4813 -3.2931 -2.8053 2.1426" Properties=species:S:1:pos:R:3 pbc="T T T"
Cr -0.6746 -3.1684 5.6917
Cr -2.9462 -3.1416 4.9335
Cr -2.0485 -1.2485 6.0938
Cr -1.3125 -1.7499 3.8706
Rh -2.6181 -3.4906 7.7211
Cl 0.0000 0.0000 0.0000
```

## Properties
For the total moment, the calculation gives 0.000 μB per atom. The electronic total energy comes out at -43.30 eV per cell. Its uncorrected formation energy is 0.7323 eV per atom.

---

Material: Li2CoRh
Method: DFT, PBE
State: optimized geometry

Structure (extended XYZ):
```
4
Lattice="-3.2105 1.2196 3.4088 -1.6472 -3.4773 2.9342 4.2876 1.5871 -1.5849" Properties=species:S:1:pos:R:3 pbc="T T T"
Co -0.6759 0.8390 2.4977
Li 0.0000 0.0000 0.0000
Li -2.4288 -1.1288 3.1715
Rh 0.1058 -1.5095 2.2604
```

## Properties
For the total moment, the calculation gives 0.542 μB per atom. The electronic total energy comes out at -18.14 eV per cell.

---

Material: LaErIn
Method: DFT, PBE
State: optimized geometry

Structure (extended XYZ):
```
6
Lattice="4.8019 0.0000 0.3559 0.0000 4.8161 0.0000 -0.6472 0.0000 8.3353" Properties=species:S:1:pos:R:3 pbc="T T T"
La 3.0593 1.2040 7.3558
La 1.0954 3.6120 1.3354
Er 0.8775 1.2040 4.2576
Er 3.2772 3.6120 4.4336
In 3.4322 1.2040 2.3293
In 0.7225 3.6120 6.3619
```

## Properties
For the total moment, the calculation gives 0.355 μB per atom. The electronic total energy comes out at -26.38 eV per cell.

---

Material: NaCaGa2Rh
Method: DFT, PBE
State: optimized geometry

Structure (extended XYZ):
```
5
Lattice="-3.9538 2.4538 -2.5683 -0.5011 -4.1378 -3.1819 -3.5156 -2.1537 3.3544" Properties=species:S:1:pos:R:3 pbc="T T T"
Na -0.2505 -2.0689 -1.5909
Ca 0.0000 0.0000 0.0000
Rh -3.9852 -1.9189 -1.1979
Ga -1.7578 -1.0769 1.6772
Ga -1.9769 1.2269 -1.2841
```

## Properties
For the total moment, the calculation gives 0.096 μB per atom. The electronic total energy comes out at -10.50 eV per cell.

---

Which formula does entry 4 have? NaCaGa2Rh

---

Repeat the fourth record exactly.
Material: NaCaGa2Rh
Method: DFT, PBE
State: optimized geometry

Structure (extended XYZ):
```
5
Lattice="-3.9538 2.4538 -2.5683 -0.5011 -4.1378 -3.1819 -3.5156 -2.1537 3.3544" Properties=species:S:1:pos:R:3 pbc="T T T"
Na -0.2505 -2.0689 -1.5909
Ca 0.0000 0.0000 0.0000
Rh -3.9852 -1.9189 -1.1979
Ga -1.7578 -1.0769 1.6772
Ga -1.9769 1.2269 -1.2841
```

## Properties
For the total moment, the calculation gives 0.096 μB per atom. The electronic total energy comes out at -10.50 eV per cell.

---

total moment of number 1 (Cr4RhCl)? 0.000 μB per atom